No. 1
Material: Nd2Ga2CuPt5
Method: DFT, PBE-GGA
State: relaxed

Geometry as CIF:
```
data_Nd2Ga2CuPt5
_symmetry_space_group_name_H-M 'P 4/m b m'
_symmetry_Int_Tables_number 127
_symmetry_space_group_name_Hall '-P 4 2ab'
_cell_length_a 10.145
_cell_length_b 10.145
_cell_length_c 3.554
_cell_angle_alpha 90.00
_cell_angle_beta 90.00
_cell_angle_gamma 90.00
loop_
_atom_site_label
_atom_site_type_symbol
_atom_site_fract_x
_atom_site_fract_y
_atom_site_fract_z
Nd1 Nd 0.176 0.324 0.000
Ga1 Ga 0.126 0.626 0.000
Cu1 Cu 0.000 0.000 0.000
Pt1 Pt 0.000 0.500 0.500
Pt2 Pt 0.054 0.804 0.500
```

crystal system	tetragonal
ΔH_f (0 K)	-0.71	eV per atom

No. 2
Material: YNb2CrGa
Method: DFT, PBE-GGA
State: relaxed

Geometry as CIF:
```
data_YNb2CrGa
_symmetry_space_group_name_H-M 'P 4/m m m'
_symmetry_Int_Tables_number 123
_symmetry_space_group_name_Hall '-P 4 2'
_cell_length_a 4.923
_cell_length_b 4.923
_cell_length_c 5.107
_cell_angle_alpha 90.00
_cell_angle_beta 90.00
_cell_angle_gamma 90.00
loop_
_atom_site_label
_atom_site_type_symbol
_atom_site_fract_x
_atom_site_fract_y
_atom_site_fract_z
Y1 Y 0.000 0.000 0.000
Nb1 Nb 0.000 0.500 0.000
Cr1 Cr 0.500 0.500 0.500
Ga1 Ga 0.000 0.000 0.500
```

crystal system	tetragonal
ΔH_f (0 K)	2.31	eV per atom